Entry 1:
Ti7Sn3O20 | the Alexandria database | meta-GGA SCAN | PBEsol geometry; spin magnetization = 0.0 μB/cell; energy relative to the elements, uncorrected = -273.5 kJ per mole of atoms
1.0
-1.236 -2.405 -3.788
-1.726 -3.371 2.705
-13.473 6.906 0.011
Sn Ti O
3 7 20
direct
0.500 0.500 0.300 Sn
0.000 0.000 0.000 Sn
0.500 0.500 0.700 Sn
0.000 0.000 0.798 Ti
0.500 0.500 0.500 Ti
0.000 0.000 0.597 Ti
0.000 0.000 0.403 Ti
0.500 0.500 0.900 Ti
0.500 0.500 0.100 Ti
0.000 0.000 0.202 Ti
0.799 0.799 0.105 O
0.700 0.300 0.595 O
0.700 0.300 0.405 O
0.300 0.700 0.595 O
0.701 0.299 0.196 O
0.187 0.187 0.698 O
0.813 0.813 0.698 O
0.299 0.701 0.196 O
0.701 0.299 0.804 O
0.687 0.313 0.000 O
0.813 0.813 0.302 O
0.187 0.187 0.302 O
0.313 0.687 0.000 O
0.201 0.201 0.105 O
0.806 0.806 0.500 O
0.194 0.194 0.500 O
0.300 0.700 0.405 O
0.299 0.701 0.804 O
0.799 0.799 0.895 O
0.201 0.201 0.895 O

Entry 2:
TiGe2O6 | the Alexandria database | meta-GGA SCAN | PBEsol geometry; spin magnetization = 0.0 μB/cell; energy relative to the elements, uncorrected = -217.5 kJ per mole of atoms
1.0
5.550 0.049 0.046
1.630 6.489 0.030
1.630 0.374 6.478
Ge O Ti
4 12 2
direct
0.239 0.621 0.792 Ge
0.261 0.208 0.379 Ge
0.761 0.379 0.208 Ge
0.739 0.792 0.621 Ge
0.250 0.372 0.913 O
0.944 0.339 0.392 O
0.750 0.913 0.372 O
0.556 0.608 0.661 O
0.124 0.827 0.961 O
0.750 0.628 0.087 O
0.624 0.961 0.827 O
0.876 0.173 0.039 O
0.376 0.039 0.173 O
0.056 0.661 0.608 O
0.444 0.392 0.339 O
0.250 0.087 0.628 O
0.250 0.102 0.898 Ti
0.750 0.898 0.102 Ti

Entry 3:
Al2SiBr | the Alexandria database | meta-GGA SCAN | PBEsol geometry; energy above the most stable polymorph in this dataset = 0.082 eV/atom; spin magnetization = 0.0 μB/cell; energy relative to the elements, uncorrected = 21.8 kJ per mole of atoms
1.0
4.904 0.000 -0.029
0.000 3.879 0.000
-2.070 0.000 4.447
Br Si Al
1 1 2
direct
0.500 0.500 0.000 Br
0.000 0.500 0.500 Si
0.204 0.000 0.296 Al
0.796 0.000 0.704 Al

Entry 4:
CuRuPt2 | the Alexandria database | meta-GGA SCAN | PBEsol geometry; energy above the most stable polymorph in this dataset = 0.030 eV/atom; spin magnetization = 0.0 μB/cell
1.0
-2.309 1.162 0.695
-1.628 -4.125 1.487
2.171 2.220 3.498
Pt Ru Cu
2 1 1
direct
0.000 0.500 0.000 Pt
0.000 0.000 0.500 Pt
0.500 0.000 0.000 Ru
0.500 0.500 0.500 Cu